*1*
This record from Alexandria describes a relaxed structure of BeTcP. The functional is PBE.

Computed properties:
* space-group type: F-43m

abc: 3.869 3.869 3.869
angles: 60.00 60.00 60.00
Fractional coordinates of all 3 atoms:
Tc 0.750 0.750 0.750
Be 0.000 0.000 0.000
P 0.500 0.500 0.500



*2*
This record from Alexandria describes a relaxed structure of BeTcP. The functional is PBE.

Computed properties:
* space-group type: P3m1

abc: 3.855 3.855 3.038
angles: 90.00 90.00 120.00
Fractional coordinates of all 3 atoms:
P 0.333 0.667 0.437
Tc 0.667 0.333 0.517
Be 0.000 0.000 0.046



*3*
This record from Alexandria describes a relaxed structure of BeTcP. The functional is PBE.

Computed properties:
* space-group type: I4mm

abc: 4.308 4.308 4.308
angles: 139.04 139.04 59.31
Fractional coordinates of all 3 atoms:
Be 0.997 0.997 0.000
Tc 0.671 0.671 0.000
P 0.332 0.332 0.000



We find *3* to be the most stable, with the next structure 509 meV/atom higher.



*1*
This record from Alexandria describes a relaxed structure of BeTeP2. The functional is PBE.

Computed properties:
* space-group type: P4/mmm

abc: 4.585 4.585 3.255
angles: 90.00 90.00 90.00
Fractional coordinates of all 4 atoms:
Be 0.000 0.500 0.500
P 0.500 0.500 0.000
P 0.000 0.000 0.000
Te 0.500 0.000 0.500



*2*
This record from Alexandria describes a relaxed structure of BeTeP2. The functional is PBE.

Computed properties:
* space-group type: Fm-3m

abc: 4.579 4.579 4.579
angles: 60.00 60.00 60.00
Fractional coordinates of all 4 atoms:
Be 0.000 0.000 0.000
Te 0.500 0.500 0.500
P 0.750 0.750 0.750
P 0.250 0.250 0.250



*3*
This record from Alexandria describes a relaxed structure of BeTeP2. The functional is PBE.

Computed properties:
* space-group type: P4/mmm

abc: 8.667 3.409 3.409
angles: 90.00 90.00 90.00
Fractional coordinates of all 4 atoms:
P 0.000 0.500 0.500
P 0.000 0.000 0.000
Te 0.500 0.500 0.000
Be 0.500 0.000 0.500



*4*
This record from Alexandria describes a relaxed structure of BeTeP2. The functional is PBE.

Computed properties:
* space-group type: P4mm

abc: 3.035 3.035 8.110
angles: 90.00 90.00 90.00
Fractional coordinates of all 4 atoms:
Be 0.500 0.500 0.869
P 0.000 0.000 0.970
P 0.500 0.500 0.138
Te 0.000 0.000 0.523



We find *4* to be the most stable, with the next structure 58 meV/atom higher.



*1*
This record from Alexandria describes a relaxed structure of BeTeP2. The functional is PBE.

Computed properties:
* space-group type: I-4m2

abc: 4.546 4.546 4.546
angles: 119.73 119.72 90.48
Fractional coordinates of all 4 atoms:
P 0.250 0.750 0.500
P 0.000 0.000 0.000
Be 0.750 0.250 0.500
Te 0.500 0.500 0.000



*2*
This record from Alexandria describes a relaxed structure of BeTeP2. The functional is PBE.

Computed properties:
* space-group type: Cmm2

abc: 4.489 4.489 6.845
angles: 90.00 90.00 135.02
Fractional coordinates of all 4 atoms:
P 0.500 0.500 0.205
P 0.000 0.000 0.992
Be 0.500 0.500 0.778
Te 0.000 0.000 0.526



We find *2* to be the most stable, with the next structure 305 meV/atom higher.



*1*
This record from Alexandria describes a relaxed structure of BeTeP2. The functional is PBE.

Computed properties:
* space-group type: C2/m

abc: 5.113 5.113 6.493
angles: 67.10 67.10 35.24
Fractional coordinates of all 4 atoms:
P 0.594 0.594 0.209
P 0.906 0.906 0.291
Be 0.250 0.250 0.250
Te 0.750 0.750 0.750



*2*
This record from Alexandria describes a relaxed structure of BeTeP2. The functional is PBE.

Computed properties:
* space-group type: Cm

abc: 3.520 3.520 8.389
angles: 99.10 99.10 54.92
Fractional coordinates of all 4 atoms:
Be 0.371 0.371 0.221
P 0.535 0.535 0.866
P 0.877 0.877 0.013
Te 0.716 0.716 0.400



We find *2* to be the most stable, with the next structure 175 meV/atom higher.



*1*
This record from Alexandria describes a relaxed structure of BeTeP2. The functional is PBE.

Computed properties:
* space-group type: Pm

abc: 3.763 3.886 5.745
angles: 77.47 90.00 90.00
Fractional coordinates of all 4 atoms:
P 0.000 0.919 0.824
P 0.500 0.289 0.192
Te 0.000 0.448 0.485
Be 0.500 0.844 0.999



*2*
This record from Alexandria describes a relaxed structure of BeTeP2. The functional is PBE.

Computed properties:
* space-group type: Imm2

abc: 6.675 6.675 6.675
angles: 152.41 128.49 59.42
Fractional coordinates of all 4 atoms:
Be 0.813 0.313 0.500
Te 0.646 0.646 0.000
P 0.086 0.586 0.500
P 0.955 0.955 0.000



*3*
This record from Alexandria describes a relaxed structure of BeTeP2. The functional is PBE.

Computed properties:
* space-group type: I-42d

abc: 5.591 5.591 6.725
angles: 65.44 65.44 90.00
Fractional coordinates of all 8 atoms:
P 0.533 0.125 0.250
P 0.375 0.467 0.750
P 0.875 0.783 0.750
P 0.217 0.625 0.250
Be 0.500 0.500 0.000
Be 0.250 0.750 0.500
Te 0.750 0.250 0.500
Te 0.000 0.000 0.000



We find *1* to be the most stable, with the next structure 81 meV/atom higher.



*1*
This record from Alexandria describes a relaxed structure of BeTeP2. The functional is PBE.

Computed properties:
* space-group type: R3m

abc: 8.591 8.591 8.591
angles: 23.17 23.17 23.17
Fractional coordinates of all 4 atoms:
Be 0.744 0.744 0.744
P 0.003 0.003 0.003
P 0.289 0.289 0.289
Te 0.464 0.464 0.464



*2*
This record from Alexandria describes a relaxed structure of BeTeP2. The functional is PBE.

Computed properties:
* space-group type: I4/mmm

abc: 6.510 6.510 6.510
angles: 148.89 148.89 44.57
Fractional coordinates of all 4 atoms:
P 0.000 0.000 0.000
P 0.500 0.500 0.000
Te 0.250 0.750 0.500
Be 0.750 0.250 0.500



*3*
This record from Alexandria describes a relaxed structure of BeTeP2. The functional is PBE.

Computed properties:
* space-group type: P4/mmm

abc: 3.027 3.027 9.404
angles: 90.00 90.00 90.00
Fractional coordinates of all 4 atoms:
Be 0.500 0.500 0.750
P 0.000 0.000 0.864
P 0.000 0.000 0.636
Te 0.500 0.500 0.250



*4*
This record from Alexandria describes a relaxed structure of BeTeP2. The functional is PBE.

Computed properties:
* space-group type: Cmmm

abc: 4.575 4.575 3.589
angles: 90.00 90.00 110.55
Fractional coordinates of all 4 atoms:
Be 0.000 0.500 0.500
P 0.500 0.500 0.000
P 0.000 0.000 0.000
Te 0.500 0.000 0.500



We find *1* to be the most stable, with the next structure 90 meV/atom higher.



*1*
This record from Alexandria describes a relaxed structure of BeTeP2. The functional is PBE.

Computed properties:
* space-group type: P2/m

abc: 3.600 4.089 5.059
angles: 78.19 90.00 90.00
Fractional coordinates of all 4 atoms:
P 0.000 0.487 0.600
P 0.000 0.013 0.900
Be 0.500 0.750 0.750
Te 0.500 0.250 0.250



*2*
This record from Alexandria describes a relaxed structure of BeTeP2. The functional is PBE.

Computed properties:
* space-group type: R-3m

abc: 6.303 6.303 6.303
angles: 33.71 33.71 33.71
Fractional coordinates of all 4 atoms:
Be 0.750 0.750 0.750
P 0.023 0.023 0.023
P 0.477 0.477 0.477
Te 0.250 0.250 0.250



*3*
This record from Alexandria describes a relaxed structure of BeTeP2. The functional is PBE.

Computed properties:
* space-group type: P4mm

abc: 3.532 3.532 5.818
angles: 90.00 90.00 90.00
Fractional coordinates of all 4 atoms:
Be 0.500 0.500 0.707
P 0.500 0.500 0.077
P 0.000 0.000 0.133
Te 0.000 0.000 0.584



*4*
This record from Alexandria describes a relaxed structure of BeTeP2. The functional is PBE.

Computed properties:
* space-group type: Immm

abc: 5.730 5.730 5.730
angles: 143.66 124.74 67.95
Fractional coordinates of all 4 atoms:
P 0.872 0.872 0.000
P 0.628 0.628 0.000
Te 0.250 0.750 0.500
Be 0.750 0.250 0.500



We find *1* to be the most stable, with the next structure 26 meV/atom higher.



*1*
This record from Alexandria describes a relaxed structure of BeTeP3. The functional is PBE.

Computed properties:
* space-group type: Pm-3m

abc: 5.037 5.037 5.037
angles: 90.00 90.00 90.00
Fractional coordinates of all 5 atoms:
P 0.500 0.000 0.000
P 0.000 0.500 0.000
P 0.000 0.000 0.500
Be 0.500 0.500 0.500
Te 0.000 0.000 0.000



*2*
This record from Alexandria describes a relaxed structure of BeTeP3. The functional is PBE.

Computed properties:
* space-group type: Pm-3m

abc: 4.389 4.389 4.389
angles: 90.00 90.00 90.00
Fractional coordinates of all 5 atoms:
P 0.000 0.500 0.000
P 0.500 0.000 0.000
P 0.000 0.000 0.500
Te 0.500 0.500 0.500
Be 0.000 0.000 0.000



We find *2* to be the most stable, with the next structure 1097 meV/atom higher.